# 1
! PBE AgSnTeS, relaxed; values from VASP
! - total moment (μB per atom) = 0.00
! - raw total energy (eV per atom) = -3.70
! - formation energy (no corrections) (meV per atom) = -169
! - symmetry = No. 186
! - N(E_F) (states/eV/f.u.) = 2.76
&SYSTEM
  ibrav = 0, nat = 8, ntyp = 4
/
ATOMIC_SPECIES
Ag 107.87 Ag.upf
Sn 118.71 Sn.upf
Te 127.60 Te.upf
S 32.06 S.upf
CELL_PARAMETERS angstrom
4.167 0.000 0.000
-2.084 3.609 0.000
0.000 0.000 14.587
ATOMIC_POSITIONS angstrom
Ag 0.000 0.000 0.000
Ag 0.000 0.000 7.293
Sn 0.000 2.406 3.478
Sn 2.084 1.203 10.771
Te 0.000 2.406 8.818
Te 2.084 1.203 1.525
S 0.000 0.000 4.828
S 0.000 0.000 12.122

# 2
! PBE AgSnTe2S6, relaxed; values from VASP
! - total moment (μB per atom) = 0.00
! - raw total energy (eV per atom) = -3.77
! - formation energy (no corrections) (meV per atom) = 21
! - symmetry = No. 146
! - N(E_F) (states/eV/f.u.) = 3.69
&SYSTEM
  ibrav = 0, nat = 10, ntyp = 4
/
ATOMIC_SPECIES
Ag 107.87 Ag.upf
Sn 118.71 Sn.upf
Te 127.60 Te.upf
S 32.06 S.upf
CELL_PARAMETERS angstrom
3.303 1.907 6.701
-3.303 1.907 6.701
0.000 -3.814 6.701
ATOMIC_POSITIONS angstrom
Ag 0.000 0.000 0.000
Sn 0.000 0.000 9.926
Te 0.000 0.000 5.888
Te 0.000 0.000 16.095
S -1.119 -1.823 8.265
S -2.241 -0.068 11.647
S -1.019 1.880 8.265
S 1.179 -1.907 11.647
S 2.138 -0.058 8.265
S 1.062 1.975 11.647

# 3
! PBE Ag2SnTeS4, relaxed; values from VASP
! - total moment (μB per atom) = 0.00
! - raw total energy (eV per atom) = -3.74
! - formation energy (no corrections) (meV per atom) = -68
! - symmetry = No. 15
! - N(E_F) (states/eV/f.u.) = 2.84
&SYSTEM
  ibrav = 0, nat = 16, ntyp = 4
/
ATOMIC_SPECIES
Ag 107.87 Ag.upf
Sn 118.71 Sn.upf
Te 127.60 Te.upf
S 32.06 S.upf
CELL_PARAMETERS angstrom
5.574 -5.438 0.000
5.574 5.438 0.000
-5.235 0.000 5.707
ATOMIC_POSITIONS angstrom
Ag 0.000 0.000 0.000
Ag -2.618 0.000 2.853
Ag 2.787 2.719 0.000
Ag 0.169 -2.719 2.853
Sn 5.574 0.000 0.000
Sn 2.956 0.000 2.853
Te 0.169 2.719 2.853
Te 2.787 -2.719 0.000
S 2.812 2.778 2.582
S 0.158 0.035 2.933
S 2.775 -0.035 0.080
S 5.719 2.778 0.271
S 0.194 -2.778 5.436
S 3.138 0.035 5.626
S 5.755 -0.035 2.773
S 3.101 -2.778 3.124

# 4
! PBE AgSn2TeS3, relaxed; values from VASP
! - total moment (μB per atom) = 0.00
! - raw total energy (eV per atom) = -4.03
! - formation energy (no corrections) (meV per atom) = -258
! - symmetry = No. 166
! - N(E_F) (states/eV/f.u.) = 1.59
&SYSTEM
  ibrav = 0, nat = 14, ntyp = 4
/
ATOMIC_SPECIES
Ag 107.87 Ag.upf
Sn 118.71 Sn.upf
Te 127.60 Te.upf
S 32.06 S.upf
CELL_PARAMETERS angstrom
3.963 2.288 6.904
-3.963 2.288 6.904
0.000 -4.576 6.904
ATOMIC_POSITIONS angstrom
Ag 0.000 0.000 1.541
Ag 0.000 0.000 19.171
Sn -1.982 -1.144 6.904
Sn -1.982 1.144 13.808
Sn 0.000 2.288 6.904
Sn 0.000 0.000 10.356
Te 0.000 0.000 5.016
Te 0.000 0.000 15.695
S 0.000 -2.096 8.322
S -1.815 1.048 8.322
S -1.815 -1.048 12.390
S 1.815 1.048 8.322
S 1.815 -1.048 12.390
S 0.000 2.096 12.390

# 5
! PBE Tl2AgSnS4, relaxed; values from VASP
! - total moment (μB per atom) = 0.00
! - raw total energy (eV per atom) = -3.78
! - formation energy (no corrections) (meV per atom) = -263
! - symmetry = No. 82
! - N(E_F) (states/eV/f.u.) = 4.16
&SYSTEM
  ibrav = 0, nat = 8, ntyp = 4
/
ATOMIC_SPECIES
Tl 204.38 Tl.upf
Ag 107.87 Ag.upf
Sn 118.71 Sn.upf
S 32.06 S.upf
CELL_PARAMETERS angstrom
-3.665 3.665 4.060
3.665 -3.665 4.060
3.665 3.665 -4.060
ATOMIC_POSITIONS angstrom
Tl 0.000 0.000 0.000
Tl 0.000 3.665 2.030
Ag 0.000 0.000 4.060
Sn 3.665 0.000 2.030
S 1.584 2.376 -0.704
S 4.955 1.584 0.704
S 2.082 1.289 3.357
S -1.289 2.082 4.764

# 6
! PBE Tl2AgSn3S8, relaxed; values from VASP
! - total moment (μB per atom) = 0.00
! - raw total energy (eV per atom) = -4.06
! - formation energy (no corrections) (meV per atom) = -305
! - symmetry = No. 160
! - N(E_F) (states/eV/f.u.) = 8.47
&SYSTEM
  ibrav = 0, nat = 14, ntyp = 4
/
ATOMIC_SPECIES
Tl 204.38 Tl.upf
Ag 107.87 Ag.upf
Sn 118.71 Sn.upf
S 32.06 S.upf
CELL_PARAMETERS angstrom
3.765 2.174 8.076
-3.765 2.174 8.076
0.000 -4.347 8.076
ATOMIC_POSITIONS angstrom
Tl 0.000 0.000 0.000
Tl 0.000 0.000 8.635
Ag 0.000 0.000 12.189
Sn -1.847 -1.066 20.171
Sn 1.847 -1.066 20.171
Sn 0.000 2.133 20.171
S -1.943 -1.122 13.544
S 0.000 0.000 5.439
S 0.000 -2.252 10.650
S -1.951 1.126 10.650
S 1.943 -1.122 13.544
S 0.000 2.244 13.544
S 0.000 0.000 18.642
S 1.951 1.126 10.650

# 7
! PBE TlAg2Sn3S8, relaxed; values from VASP
! - total moment (μB per atom) = 0.00
! - raw total energy (eV per atom) = -4.04
! - formation energy (no corrections) (meV per atom) = -247
! - symmetry = No. 160
! - N(E_F) (states/eV/f.u.) = 2.29
&SYSTEM
  ibrav = 0, nat = 14, ntyp = 4
/
ATOMIC_SPECIES
Tl 204.38 Tl.upf
Ag 107.87 Ag.upf
Sn 118.71 Sn.upf
S 32.06 S.upf
CELL_PARAMETERS angstrom
3.878 2.239 6.725
-3.878 2.239 6.725
0.000 -4.478 6.725
ATOMIC_POSITIONS angstrom
Tl 0.000 0.000 0.000
Ag 0.000 0.000 3.912
Ag 0.000 0.000 12.590
Sn -1.872 -1.081 9.209
Sn 1.872 -1.081 9.209
Sn 0.000 2.162 9.209
S 0.000 -2.043 10.695
S -1.769 1.021 10.695
S 0.000 0.000 7.691
S -1.720 -0.993 14.444
S 1.769 1.021 10.695
S 0.000 0.000 17.355
S 1.720 -0.993 14.444
S 0.000 1.986 14.444

# 8
! PBE TlAg2SnS4, relaxed; values from VASP
! - total moment (μB per atom) = 0.00
! - raw total energy (eV per atom) = -3.79
! - formation energy (no corrections) (meV per atom) = -213
! - symmetry = No. 23
! - N(E_F) (states/eV/f.u.) = 4.28
&SYSTEM
  ibrav = 0, nat = 8, ntyp = 4
/
ATOMIC_SPECIES
Tl 204.38 Tl.upf
Ag 107.87 Ag.upf
Sn 118.71 Sn.upf
S 32.06 S.upf
CELL_PARAMETERS angstrom
-3.446 3.450 4.183
3.446 -3.450 4.183
3.446 3.450 -4.183
ATOMIC_POSITIONS angstrom
Tl 0.000 0.000 0.000
Ag 3.446 0.000 2.104
Ag 0.000 3.450 2.079
Sn 0.000 0.000 4.183
S 2.036 2.038 -1.390
S 1.410 -1.412 5.573
S 1.410 1.412 2.793
S 2.036 4.862 1.390